Entry 1:
LaPrSbCl2 | PBE-GGA | optimized geometry

```
5
Lattice="4.376 0.000 0.000 -2.188 3.790 0.000 0.000 0.000 10.849" Properties=species:S:1:pos:R:3 pbc="T T T"
Cl 0.000 0.000 3.405
Cl 0.000 2.526 7.432
La 0.000 0.000 8.994
Pr 0.000 2.526 1.850
Sb 2.188 1.263 0.017
```

## Properties
energy: -0.3866 Ry per atom

=====

Entry 2:
GdMgCd | PBE-GGA | optimized geometry

```
3
Lattice="1.290 -4.697 0.526 -3.341 -3.323 1.341 -1.560 -3.344 -3.223" Properties=species:S:1:pos:R:3 pbc="T T T"
Cd -0.903 -2.841 -0.339
Gd -2.708 -8.523 -1.017
Mg 0.000 0.000 0.000
```

## Properties
energy: -0.1636 Ry per atom

=====

Entry 3:
GdSbW | PBE-GGA | optimized geometry

```
3
Lattice="-2.466 2.327 3.313 -3.378 3.069 -1.279 -4.562 -1.054 0.736" Properties=species:S:1:pos:R:3 pbc="T T T"
Gd -2.602 1.086 0.692
Sb 0.000 0.000 0.000
W -7.805 3.257 2.077
```

## Properties
energy: -0.4949 Ry per atom

=====

Entry 4:
SmTmSc | PBE-GGA | optimized geometry

```
3
Lattice="0.000 3.711 3.711 3.711 0.000 3.711 3.711 3.711 0.000" Properties=species:S:1:pos:R:3 pbc="T T T"
Sc 0.000 0.000 0.000
Sm 1.855 1.855 1.855
Tm 5.566 5.566 5.566
```

## Properties
energy relative to the elements: 0.6873 eV/atom
energy relative to the lowest polymorph listed for this composition: 0 meV/atom

=====

| no. | ρ (g/cm3) |
| --- | --- |
| 1 | 4.36 |
| 2 | 5.87 |
| 3 | 10.21 |
| 4 | 5.92 |